Entry 1:
BaTlNO2: optimized geometry, PBE.

a b c (Å): 4.9412 4.9412 5.3740
angles (deg): 90.00 90.00 90.00
Each line ends with the local moment (μB).
Positions (direct):
Tl  0.5000  0.5000  0.5000  0.02
Ba  0.0000  0.0000  0.0000  -0.05
O  0.0000  0.5000  0.0000  -0.51
O  0.5000  0.0000  0.0000  -0.51
N  0.0000  0.0000  0.5000  1.53

Values from the calculation:
Total magnetic moment (Bohr magnetons per cell): 1.1
Uncorrected energy (eV per cell): -21.1

Entry 2:
HoHgO3: optimized geometry, PBE.

a b c (Å): 3.5915 5.7711 7.4253
angles (deg): 90.00 104.00 90.00
Each line ends with the local moment (μB).
Positions (direct):
Ho  0.3046  0.7500  0.6091  -0.01
Ho  0.6954  0.2500  0.3909  -0.01
Hg  0.9427  0.2500  0.8855  0.07
Hg  0.0573  0.7500  0.1145  0.07
O  0.8222  0.9986  0.6445  0.19
O  0.1778  0.4986  0.3555  0.19
O  0.5337  0.2500  0.0674  0.41
O  0.1778  0.0014  0.3555  0.19
O  0.8222  0.5014  0.6445  0.19
O  0.4663  0.7500  0.9326  0.41

Values from the calculation:
Total magnetic moment (Bohr magnetons per cell): 2.0
Uncorrected energy (eV per cell): -56.4

Entry 3:
UP2RuRh: optimized geometry, PBE.

a b c (Å): 3.9378 3.9378 5.7177
angles (deg): 110.14 110.14 90.00
Each line ends with the local moment (μB).
Positions (direct):
U  0.0000  0.0000  0.0000  1.71
P  0.6136  0.6136  0.2272  -0.01
P  0.3864  0.3864  0.7728  -0.01
Ru  0.2500  0.7500  0.5000  -0.03
Rh  0.7500  0.2500  0.5000  0.00

Values from the calculation:
Total magnetic moment (Bohr magnetons per cell): 1.8
Formation enthalpy at 0 K (eV/atom): -0.793
Uncorrected energy (eV per cell): -42.7

Entry 4:
PmNdEr5: optimized geometry, PBE.

a b c (Å): 5.7460 7.8582 7.8582
angles (deg): 66.60 68.55 68.55
Positions (direct):
Pm  0.0000  0.0000  0.0000
Nd  0.5000  0.5000  0.5000
Er  0.5000  0.1783  0.8217
Er  0.5000  0.8217  0.1783
Er  0.7457  0.2543  0.2543
Er  0.2543  0.7457  0.7457
Er  0.0000  0.5000  0.5000

Values from the calculation:
Total magnetic moment (Bohr magnetons per cell): 0.0
Formation enthalpy at 0 K (eV/atom): 1.112
Uncorrected energy (eV per cell): -24.6

Entry 5:
CsAc4Se6: optimized geometry, PBE.

a b c (Å): 4.5179 7.8763 23.6835
angles (deg): 90.00 90.00 106.67
Positions (direct):
Cs  0.6483  0.2967  0.2500
Cs  0.3517  0.7033  0.7500
Ac  0.8681  0.7362  0.5417
Ac  0.3974  0.7948  0.1338
Ac  0.1319  0.2638  0.4583
Ac  0.6026  0.2052  0.8662
Ac  0.8681  0.7362  0.9583
Ac  0.1319  0.2638  0.0417
Ac  0.6026  0.2052  0.6338
Ac  0.3974  0.7948  0.3662
Se  0.5000  0.0000  0.0000
Se  0.5000  0.0000  0.5000
Se  0.0309  0.0617  0.3491
Se  0.9691  0.9383  0.6509
Se  0.9691  0.9383  0.8491
Se  0.0309  0.0617  0.1509
Se  0.7708  0.5417  0.4213
Se  0.2292  0.4583  0.5787
Se  0.2292  0.4583  0.9213
Se  0.7708  0.5417  0.0787
Se  0.3309  0.6617  0.2500
Se  0.6691  0.3383  0.7500

Values from the calculation:
Total magnetic moment (Bohr magnetons per cell): 0.0
Uncorrected energy (eV per cell): -117.2

Entry 6:
BiSbNF2: optimized geometry, PBE.

a b c (Å): 4.4364 4.4364 4.4798
angles (deg): 90.00 90.00 90.00
Positions (direct):
Sb  0.0000  0.0000  0.0000
N  0.0000  0.0000  0.5000
Bi  0.5000  0.5000  0.5000
F  0.0000  0.5000  0.0000
F  0.5000  0.0000  0.0000

Values from the calculation:
Total magnetic moment (Bohr magnetons per cell): 0.0
Uncorrected energy (eV per cell): -22.2